(1)
DFT (PBE) results for crystalline Nd2EuAg at its relaxed geometry.

Lattice parameters (Å, degrees): 11.200 11.200 11.200 19.08 19.08 19.08
Fractional coordinates of all 4 atoms:
Nd 0.238 0.238 0.238
Nd 0.762 0.762 0.762
Eu 0.000 0.000 0.000
Ag 0.500 0.500 0.500

Summary:
The value obtained for the energy of formation from the pure elements is 0.027 eV per atom. For the magnetization, the calculation gives 1.90 μB/atom.

(2)
DFT (PBE) results for crystalline RbTl2IF2 at its relaxed geometry.

Lattice parameters (Å, degrees): 7.831 6.586 7.897 90.00 105.10 90.00
Fractional coordinates of all 12 atoms:
Rb 0.159 0.250 0.449
Rb 0.841 0.750 0.551
Tl 0.090 0.250 0.935
Tl 0.377 0.750 0.810
Tl 0.623 0.250 0.190
Tl 0.910 0.750 0.065
I 0.350 0.750 0.260
I 0.650 0.250 0.740
F 0.131 0.505 0.724
F 0.131 0.995 0.724
F 0.869 0.005 0.276
F 0.869 0.495 0.276

Summary:
For the total energy, the calculation gives -42.32 eV per cell. For the magnetization, the calculation gives 0.00 μB/atom.

(3)
DFT (PBE) results for crystalline NiAs at its relaxed geometry.

Lattice parameters (Å, degrees): 4.163 4.163 6.021 108.06 108.06 41.72
Fractional coordinates of all 4 atoms:
Ni 0.111 0.111 0.391
Ni 0.889 0.889 0.609
As 0.358 0.358 0.251
As 0.642 0.642 0.749

Summary:
The value obtained for the energy of formation from the pure elements is -0.145 eV per atom. For the magnetization, the calculation gives 0.00 μB/atom.

> Among the records above, which one has the highest magnetization?

Nd2EuAg